(1)
This record from the Alexandria database describes a geometry-optimized NdSi2Ag structure. The functional is GGA-PBE.

Output
Calculated volume   158 Å³/cell
ΔE_f (raw)   -2.03 eV/f.u.
Total magnetic moment   0.0 μB per formula unit

Cell and atoms, written as extended XYZ:
```
8
Lattice="4.245 0.000 0.000 0.000 4.225 0.000 0.000 -2.113 8.826" Properties=species:S:1:pos:R:3 pbc="T T T"
Si 1.061 0.002 0.567
Si 3.184 2.111 8.259
Si 1.061 0.001 2.891
Si 3.184 2.112 5.935
Nd 1.061 0.000 7.125
Nd 3.184 2.112 1.701
Ag 1.061 2.113 4.386
Ag 3.184 -0.001 4.440
```

(2)
This record from the Alexandria database describes a geometry-optimized CaZn2Hg2 structure. The functional is GGA-PBE.

Output
ΔE to the lowest computed polymorph   0.011 eV/atom
Calculated volume   229 Å³/cell
ΔE_f   -0.21 eV/atom
Total magnetic moment   0.0 μB per formula unit

Cell and atoms, written as extended XYZ:
```
10
Lattice="6.014 -0.001 0.017 2.985 5.599 -0.307 3.036 -0.387 6.823" Properties=species:S:1:pos:R:3 pbc="T T T"
Ca 8.393 4.087 1.496
Ca 3.642 1.124 5.038
Zn 5.381 3.741 0.228
Zn 6.646 0.768 3.786
Zn 6.654 1.470 6.306
Zn 5.389 4.443 2.748
Hg 4.726 1.693 2.087
Hg 10.320 4.338 5.382
Hg 1.715 0.873 1.151
Hg 7.308 3.518 4.446
```

(3)
This record from the Alexandria database describes a geometry-optimized Ce2Al4Cu3Pt structure. The functional is GGA-PBE.

Output
Calculated volume   182 Å³/cell
ΔE_f   -0.53 eV/atom
Total magnetic moment   1.2 μB per formula unit

Cell and atoms, written as extended XYZ:
```
10
Lattice="-2.516 3.356 -0.633 -2.808 -1.585 2.757 4.643 4.904 7.548" Properties=species:S:1:pos:R:3 pbc="T T T"
Ce -0.084 2.918 1.591
Ce 2.065 2.872 7.018
Al -2.662 0.886 1.062
Al 0.000 0.000 0.000
Al 1.672 4.773 4.447
Al 0.309 1.017 4.163
Cu 2.321 2.452 3.774
Cu 2.784 5.948 6.255
Cu -0.803 -0.158 2.355
Pt -0.341 3.338 4.836
```

(4)
This record from the Alexandria database describes a geometry-optimized TbErSiSe structure. The functional is GGA-PBE.

Output
Calculated volume   98 Å³/cell
ΔE_f (raw)   -5.17 eV/f.u.
Total magnetic moment   0.0 μB per formula unit

Cell and atoms, written as extended XYZ:
```
4
Lattice="-2.134 -0.788 3.402 1.954 -0.643 3.538 -0.341 6.159 3.675" Properties=species:S:1:pos:R:3 pbc="T T T"
Tb -0.303 3.382 5.516
Er -0.231 -0.227 7.187
Si -0.176 2.273 2.877
Se -0.439 4.684 8.194
```

(5)
This record from the Alexandria database describes a geometry-optimized TiRe3Ge structure. The functional is GGA-PBE.

Output
ΔE to the lowest computed polymorph   0.578 eV/atom
Calculated volume   97 Å³/cell
ΔE_f   2.00 eV/atom
Total magnetic moment   2.4 μB per formula unit

Cell and atoms, written as extended XYZ:
```
5
Lattice="4.600 0.000 0.000 0.000 4.600 0.000 0.000 0.000 4.600" Properties=species:S:1:pos:R:3 pbc="T T T"
Re 0.000 2.300 0.000
Re 0.000 0.000 2.300
Re 2.300 0.000 0.000
Ge 2.300 2.300 2.300
Ti 0.000 0.000 0.000
```

(6)
This record from the Alexandria database describes a geometry-optimized Tb4GeI5 structure. The functional is GGA-PBE.

Output
Calculated volume   348 Å³/cell
ΔE_f (raw)   -11.93 eV/f.u.
Total magnetic moment   0.0 μB per formula unit

Cell and atoms, written as extended XYZ:
```
10
Lattice="4.217 0.000 0.000 0.000 8.841 -0.396 -2.109 -1.656 9.419" Properties=species:S:1:pos:R:3 pbc="T T T"
Tb 0.000 7.026 6.279
Tb 0.000 6.969 -0.309
Tb 2.109 0.159 2.744
Tb 2.109 0.216 9.332
Ge 2.109 0.000 0.000
I 2.109 4.771 6.024
I 2.109 0.441 6.117
I 0.000 6.743 2.906
I 2.109 4.421 -0.198
I 0.000 2.414 2.999
```

(7)
This record from the Alexandria database describes a geometry-optimized Cu3TeS2 structure. The functional is GGA-PBE.

Output
Calculated volume   234 Å³/cell
ΔE_f (raw)   -0.60 eV/f.u.
Total magnetic moment   0.0 μB per formula unit

Cell and atoms, written as extended XYZ:
```
12
Lattice="-0.844 -3.061 -2.346 5.546 0.238 -2.306 0.841 -4.816 9.301" Properties=species:S:1:pos:R:3 pbc="T T T"
Cu 2.007 -3.309 3.594
Cu 5.045 -0.472 -1.200
Cu 3.898 -4.786 4.841
Cu 3.535 -4.330 1.055
Cu 1.645 -2.853 -0.192
Cu 0.498 -7.166 5.849
Te 1.341 -4.719 5.674
Te 4.202 -2.920 -1.025
S 4.399 -3.485 2.964
S 1.144 -4.154 1.686
S 3.873 -6.981 4.393
S 1.669 -0.657 0.257
```

(8)
This record from the Alexandria database describes a geometry-optimized TbY2TmP4 structure. The functional is GGA-PBE.

Output
Calculated volume   181 Å³/cell
ΔE_f   -1.62 eV/atom
Total magnetic moment   0.0 μB per formula unit

Cell and atoms, written as extended XYZ:
```
8
Lattice="4.002 0.000 0.000 0.000 6.928 0.121 0.000 -2.423 6.493" Properties=species:S:1:pos:R:3 pbc="T T T"
Tb 2.001 3.464 0.060
Y 2.001 -1.211 3.246
Y 0.000 2.253 3.307
Tm 0.000 0.000 0.000
P 2.001 1.111 1.636
P 2.001 3.394 4.978
P 0.000 -0.100 4.906
P 0.000 4.606 1.708
```